! K8Bi2S PBE-GGA relaxed; values from VASP
! Magnetization = 0.00 μB per formula unit
! Formation energy (no corrections) = -51 kJ/mol of atoms
! Volume = 41.722 Å³ per atom
&SYSTEM
  ibrav = 0, nat = 11, ntyp = 3
/
ATOMIC_SPECIES
K 39.10 K.upf
Bi 208.98 Bi.upf
S 32.06 S.upf
ATOMIC_POSITIONS angstrom
K -0.587 0.000 2.064
K 2.370 0.000 5.768
K 5.741 0.000 4.040
K 8.193 0.000 0.663
K 9.820 0.000 6.681
K 12.272 0.000 3.303
K 15.643 0.000 1.575
K 18.599 0.000 5.280
Bi 2.928 0.000 1.295
Bi 15.085 0.000 6.049
S 9.006 0.000 3.672
CELL_PARAMETERS angstrom
10.433 -2.995 0.000
10.433 2.995 0.000
-2.854 0.000 7.344